The following is a DFT calculation (GGA-PBE) of TeAu2 after structural relaxation.

abc: 4.225 4.225 9.013
angles: 90.00 90.00 120.00
Fractional coordinates of all 6 atoms:
Te 0.000 0.000 0.250
Te 0.000 0.000 0.750
Au 0.333 0.667 0.078
Au 0.333 0.667 0.422
Au 0.667 0.333 0.578
Au 0.667 0.333 0.922

* formation energy from raw total energies: 0.092 eV/atom
* theoretical density: 12.43 g/cm3

The following is a DFT calculation (GGA-PBE) of BaLaTa after structural relaxation.

abc: 8.916 8.916 8.916
angles: 158.42 158.42 30.70
Fractional coordinates of all 3 atoms:
Ba 0.000 0.000 0.000
La 0.285 0.285 0.000
Ta 0.655 0.655 0.000

* ΔE_f: 0.71 eV/atom
* theoretical density: 7.92 g/cm3

- theoretical density of number 2 (BaLaTa)?
  7.92 g/cm3

- The lowest theoretical density belongs to which entry?
  BaLaTa

- Which of these has the highest theoretical density?
  TeAu2